Version i
# Ti2BI | Alexandria | PBE | optimized geometry
# Spin magnetization ... 0.0 μB/cell
data_Ti2BI
_chemical_formula_sum 'Ti8 B4 I4'
_cell_length_a 5.574
_cell_length_b 5.574
_cell_length_c 10.857
_cell_angle_alpha 90.00
_cell_angle_beta 90.00
_cell_angle_gamma 90.00
_symmetry_space_group_name_H-M 'I -4 2 d'
_symmetry_Int_Tables_number 122
_symmetry_space_group_name_Hall 'I -4 2bw'
loop_
_atom_site_label
_atom_site_type_symbol
_atom_site_fract_x
_atom_site_fract_y
_atom_site_fract_z
Ti1 Ti 0.147 0.250 0.125
B1 B 0.000 0.000 0.000
I1 I 0.000 0.000 0.500



Version ii
# Ti2BI | Alexandria | PBE | optimized geometry
# Spin magnetization ... 3.9 μB/cell
data_Ti2BI
_chemical_formula_sum 'Ti8 B4 I4'
_cell_length_a 6.349
_cell_length_b 6.349
_cell_length_c 6.349
_cell_angle_alpha 90.00
_cell_angle_beta 90.00
_cell_angle_gamma 90.00
_symmetry_space_group_name_H-M 'F m -3 m'
_symmetry_Int_Tables_number 225
_symmetry_space_group_name_Hall '-F 4 2 3'
loop_
_atom_site_label
_atom_site_type_symbol
_atom_site_fract_x
_atom_site_fract_y
_atom_site_fract_z
Ti1 Ti 0.250 0.250 0.250
B1 B 0.000 0.000 0.000
I1 I 0.000 0.000 0.500



Which structure is the least stable? The one labeled version ii.



Version i
# TiB2I | Alexandria | PBE | optimized geometry
# Spin magnetization ... 0.0 μB/cell
data_TiB2I
_chemical_formula_sum 'Ti4 B8 I4'
_cell_length_a 5.483
_cell_length_b 5.483
_cell_length_c 9.713
_cell_angle_alpha 90.00
_cell_angle_beta 90.00
_cell_angle_gamma 90.00
_symmetry_space_group_name_H-M 'I -4 2 d'
_symmetry_Int_Tables_number 122
_symmetry_space_group_name_Hall 'I -4 2bw'
loop_
_atom_site_label
_atom_site_type_symbol
_atom_site_fract_x
_atom_site_fract_y
_atom_site_fract_z
Ti1 Ti 0.000 0.000 0.000
B1 B 0.232 0.250 0.125
I1 I 0.000 0.000 0.500



Version ii
# TiB2I | Alexandria | PBE | optimized geometry
# Spin magnetization ... 4.8 μB/cell
data_TiB2I
_chemical_formula_sum 'Ti4 B8 I4'
_cell_length_a 6.125
_cell_length_b 6.125
_cell_length_c 6.125
_cell_angle_alpha 90.00
_cell_angle_beta 90.00
_cell_angle_gamma 90.00
_symmetry_space_group_name_H-M 'F m -3 m'
_symmetry_Int_Tables_number 225
_symmetry_space_group_name_Hall '-F 4 2 3'
loop_
_atom_site_label
_atom_site_type_symbol
_atom_site_fract_x
_atom_site_fract_y
_atom_site_fract_z
Ti1 Ti 0.000 0.000 0.000
B1 B 0.250 0.250 0.250
I1 I 0.000 0.000 0.500



Which structure is the least stable? The one labeled version ii.



Version i
# TlB2I | Alexandria | PBE | optimized geometry
# Spin magnetization ... 0.0 μB/cell
data_TlB2I
_chemical_formula_sum 'Tl4 B8 I4'
_cell_length_a 5.546
_cell_length_b 5.546
_cell_length_c 11.044
_cell_angle_alpha 90.00
_cell_angle_beta 90.00
_cell_angle_gamma 90.00
_symmetry_space_group_name_H-M 'I -4 2 d'
_symmetry_Int_Tables_number 122
_symmetry_space_group_name_Hall 'I -4 2bw'
loop_
_atom_site_label
_atom_site_type_symbol
_atom_site_fract_x
_atom_site_fract_y
_atom_site_fract_z
Tl1 Tl 0.000 0.000 0.000
B1 B 0.234 0.250 0.125
I1 I 0.000 0.000 0.500



Version ii
# TlB2I | Alexandria | PBE | optimized geometry
# Spin magnetization ... 0.0 μB/cell
data_TlB2I
_chemical_formula_sum 'Tl4 B8 I4'
_cell_length_a 6.878
_cell_length_b 6.878
_cell_length_c 6.878
_cell_angle_alpha 90.00
_cell_angle_beta 90.00
_cell_angle_gamma 90.00
_symmetry_space_group_name_H-M 'F m -3 m'
_symmetry_Int_Tables_number 225
_symmetry_space_group_name_Hall '-F 4 2 3'
loop_
_atom_site_label
_atom_site_type_symbol
_atom_site_fract_x
_atom_site_fract_y
_atom_site_fract_z
Tl1 Tl 0.000 0.000 0.000
B1 B 0.250 0.250 0.250
I1 I 0.000 0.000 0.500



Which structure is the least stable? The one labeled version ii.



Version i
# TlB3I | Alexandria | PBE | optimized geometry
# Spin magnetization ... 0.0 μB/cell
data_TlB3I
_chemical_formula_sum 'Tl1 B3 I1'
_cell_length_a 4.759
_cell_length_b 4.759
_cell_length_c 4.759
_cell_angle_alpha 90.00
_cell_angle_beta 90.00
_cell_angle_gamma 90.00
_symmetry_space_group_name_H-M 'P m -3 m'
_symmetry_Int_Tables_number 221
_symmetry_space_group_name_Hall '-P 4 2 3'
loop_
_atom_site_label
_atom_site_type_symbol
_atom_site_fract_x
_atom_site_fract_y
_atom_site_fract_z
Tl1 Tl 0.000 0.000 0.000
B1 B 0.000 0.000 0.500
I1 I 0.500 0.500 0.500



Version ii
# TlB3I | Alexandria | PBE | optimized geometry
# Spin magnetization ... 0.0 μB/cell
data_TlB3I
_chemical_formula_sum 'Tl1 B3 I1'
_cell_length_a 4.566
_cell_length_b 4.566
_cell_length_c 4.566
_cell_angle_alpha 90.00
_cell_angle_beta 90.00
_cell_angle_gamma 90.00
_symmetry_space_group_name_H-M 'P m -3 m'
_symmetry_Int_Tables_number 221
_symmetry_space_group_name_Hall '-P 4 2 3'
loop_
_atom_site_label
_atom_site_type_symbol
_atom_site_fract_x
_atom_site_fract_y
_atom_site_fract_z
Tl1 Tl 0.000 0.000 0.000
B1 B 0.000 0.500 0.500
I1 I 0.500 0.500 0.500



Which structure is the least stable? The one labeled version ii.



Version i
# Tm4BI5 | Alexandria | PBE | optimized geometry
# Spin magnetization ... 0.0 μB/cell
data_Tm4BI5
_chemical_formula_sum 'Tm8 B2 I10'
_cell_length_a 18.999
_cell_length_b 4.005
_cell_length_c 8.545
_cell_angle_alpha 90.00
_cell_angle_beta 102.48
_cell_angle_gamma 90.00
_symmetry_space_group_name_H-M 'C 1 2/m 1'
_symmetry_Int_Tables_number 12
loop_
_symmetry_equiv_pos_as_xyz
'x,y,z'
'-x,-y,-z'
'-x,y,-z'
'x,-y,z'
'x+1/2,y+1/2,z'
'-x+1/2,-y+1/2,-z'
'-x+1/2,y+1/2,-z'
'x+1/2,-y+1/2,z'
loop_
_atom_site_label
_atom_site_type_symbol
_atom_site_fract_x
_atom_site_fract_y
_atom_site_fract_z
Tm1 Tm 0.001 0.000 0.308
Tm2 Tm 0.132 0.500 0.567
B1 B 0.000 0.500 0.500
I1 I 0.000 0.500 0.000
I2 I 0.164 0.000 0.839
I3 I 0.170 0.000 0.327



Version ii
# Tm4BI5 | Alexandria | PBE | optimized geometry
# Spin magnetization ... 0.0 μB/cell
data_Tm4BI5
_chemical_formula_sum 'Tm8 B2 I10'
_cell_length_a 21.321
_cell_length_b 3.998
_cell_length_c 8.476
_cell_angle_alpha 90.00
_cell_angle_beta 90.28
_cell_angle_gamma 90.00
_symmetry_space_group_name_H-M 'C 1 2/m 1'
_symmetry_Int_Tables_number 12
loop_
_symmetry_equiv_pos_as_xyz
'x,y,z'
'-x,-y,-z'
'-x,y,-z'
'x,-y,z'
'x+1/2,y+1/2,z'
'-x+1/2,-y+1/2,-z'
'-x+1/2,y+1/2,-z'
'x+1/2,-y+1/2,z'
loop_
_atom_site_label
_atom_site_type_symbol
_atom_site_fract_x
_atom_site_fract_y
_atom_site_fract_z
Tm1 Tm 0.000 0.000 0.194
Tm2 Tm 0.114 0.500 0.001
B1 B 0.000 0.500 0.000
I1 I 0.000 0.500 0.500
I2 I 0.148 0.000 0.257
I3 I 0.148 0.000 0.747



Which structure is the least stable? The one labeled version ii.



Version i
# VBI2 | Alexandria | PBE | optimized geometry
# Spin magnetization ... 16.0 μB/cell
data_VBI2
_chemical_formula_sum 'V4 B4 I8'
_cell_length_a 6.397
_cell_length_b 6.397
_cell_length_c 12.438
_cell_angle_alpha 90.00
_cell_angle_beta 90.00
_cell_angle_gamma 90.00
_symmetry_space_group_name_H-M 'I -4 2 d'
_symmetry_Int_Tables_number 122
_symmetry_space_group_name_Hall 'I -4 2bw'
loop_
_atom_site_label
_atom_site_type_symbol
_atom_site_fract_x
_atom_site_fract_y
_atom_site_fract_z
V1 V 0.000 0.000 0.000
B1 B 0.000 0.000 0.500
I1 I 0.248 0.250 0.125



Version ii
# VBI2 | Alexandria | PBE | optimized geometry
# Spin magnetization ... 14.3 μB/cell
data_VBI2
_chemical_formula_sum 'V4 B4 I8'
_cell_length_a 7.146
_cell_length_b 7.146
_cell_length_c 7.146
_cell_angle_alpha 90.00
_cell_angle_beta 90.00
_cell_angle_gamma 90.00
_symmetry_space_group_name_H-M 'F m -3 m'
_symmetry_Int_Tables_number 225
_symmetry_space_group_name_Hall '-F 4 2 3'
loop_
_atom_site_label
_atom_site_type_symbol
_atom_site_fract_x
_atom_site_fract_y
_atom_site_fract_z
V1 V 0.000 0.000 0.000
B1 B 0.000 0.000 0.500
I1 I 0.250 0.250 0.250



Which structure is the least stable? The one labeled version ii.



Version i
# BW3I | Alexandria | PBE | optimized geometry
# Spin magnetization ... 0.0 μB/cell
data_BW3I
_chemical_formula_sum 'B1 W3 I1'
_cell_length_a 4.347
_cell_length_b 4.347
_cell_length_c 4.347
_cell_angle_alpha 90.00
_cell_angle_beta 90.00
_cell_angle_gamma 90.00
_symmetry_space_group_name_H-M 'P m -3 m'
_symmetry_Int_Tables_number 221
_symmetry_space_group_name_Hall '-P 4 2 3'
loop_
_atom_site_label
_atom_site_type_symbol
_atom_site_fract_x
_atom_site_fract_y
_atom_site_fract_z
B1 B 0.000 0.000 0.000
W1 W 0.000 0.000 0.500
I1 I 0.500 0.500 0.500



Version ii
# BW3I | Alexandria | PBE | optimized geometry
# Spin magnetization ... 0.0 μB/cell
data_BW3I
_chemical_formula_sum 'B1 W3 I1'
_cell_length_a 4.863
_cell_length_b 4.863
_cell_length_c 4.863
_cell_angle_alpha 90.00
_cell_angle_beta 90.00
_cell_angle_gamma 90.00
_symmetry_space_group_name_H-M 'P m -3 m'
_symmetry_Int_Tables_number 221
_symmetry_space_group_name_Hall '-P 4 2 3'
loop_
_atom_site_label
_atom_site_type_symbol
_atom_site_fract_x
_atom_site_fract_y
_atom_site_fract_z
B1 B 0.000 0.000 0.000
W1 W 0.000 0.500 0.500
I1 I 0.500 0.500 0.500



Which structure is the least stable? The one labeled version ii.